No. 1
Entry from Alexandria via LeMat-Bulk: PaGa2Br8 after structural relaxation (PBE).

Calculated values
energy relative to the elements, uncorrected	-1053.6	meV per atom

Unit cell a=12.773 b=9.950 c=9.266 alpha=90.00 beta=127.67 gamma=90.00
Space group C2/m (No. 12)
Symmetry-distinct sites (fractional):
Pa1 0.000 0.000 0.000 [2 per cell]
Ga1 0.085 0.000 0.666 [4 per cell]
Br1 0.035 0.191 0.795 [8 per cell]
Br2 0.190 0.500 0.190 [4 per cell]
Br3 0.236 0.500 0.730 [4 per cell]

=====

No. 2
Entry from Alexandria via LeMat-Bulk: Nd3Tm2ThSe6 after structural relaxation (PBE).

Calculated values
energy relative to the elements, uncorrected	-1727.5	meV per atom

Unit cell a=18.081 b=4.109 c=8.421 alpha=90.00 beta=102.42 gamma=90.00
Space group C2/m (No. 12)
Symmetry-distinct sites (fractional):
Nd1 0.000 0.000 0.000 [2 per cell]
Nd2 0.159 0.500 0.334 [4 per cell]
Tm1 0.166 0.500 0.832 [4 per cell]
Th1 0.000 0.000 0.500 [2 per cell]
Se1 0.008 0.500 0.756 [4 per cell]
Se2 0.171 0.000 0.601 [4 per cell]
Se3 0.172 0.000 0.074 [4 per cell]

=====

No. 3
Entry from Alexandria via LeMat-Bulk: Dy2SnB after structural relaxation (PBE).

Calculated values
formation energy from the elements	54	meV/atom

Unit cell a=3.7537 b=3.7537 c=27.3665 alpha=90.00 beta=90.00 gamma=120.00
Space group R-3m (No. 166, hexagonal axes)
Symmetry-distinct sites (fractional):
Dy1 0.0000 0.0000 0.1171 [6 per cell]
Sn1 0.0000 0.0000 0.0000 [3 per cell]
B1 0.0000 0.0000 0.5000 [3 per cell]